Density functional theory data (GGA-PBE) for ThZrTiN3 after structural relaxation.

a = 7.038 Å, b = 3.238 Å, c = 8.182 Å
α = 90.00°, β = 94.74°, γ = 90.00°
Element x y z (fractional)
Th 0.143 0.250 0.179
Th 0.857 0.750 0.821
Zr 0.368 0.750 0.864
Zr 0.632 0.250 0.136
Ti 0.143 0.250 0.579
Ti 0.857 0.750 0.421
N 0.143 0.250 0.852
N 0.146 0.750 0.426
N 0.404 0.750 0.129
N 0.596 0.250 0.871
N 0.854 0.250 0.574
N 0.857 0.750 0.148


Density functional theory data (GGA-PBE) for ThZr2TiN4 after structural relaxation.

a = 6.006 Å, b = 6.006 Å, c = 11.332 Å
α = 90.00°, β = 90.00°, γ = 148.11°
Element x y z (fractional)
Th 0.106 0.894 0.750
Th 0.894 0.106 0.250
Zr 0.370 0.630 0.539
Zr 0.370 0.630 0.961
Zr 0.630 0.370 0.039
Zr 0.630 0.370 0.461
Ti 0.157 0.843 0.250
Ti 0.843 0.157 0.750
N 0.000 0.000 0.000
N 0.000 0.000 0.500
N 0.264 0.736 0.118
N 0.264 0.736 0.382
N 0.448 0.552 0.750
N 0.552 0.448 0.250
N 0.736 0.264 0.618
N 0.736 0.264 0.882


Density functional theory data (GGA-PBE) for Tm2ThN3 after structural relaxation.

a = 6.975 Å, b = 6.975 Å, c = 8.414 Å
α = 108.17°, β = 108.17°, γ = 28.51°
Element x y z (fractional)
Tm 0.174 0.174 0.339
Tm 0.325 0.325 0.159
Tm 0.675 0.675 0.841
Tm 0.826 0.826 0.661
Th 0.000 0.000 0.500
Th 0.500 0.500 0.000
N 0.145 0.145 0.025
N 0.196 0.196 0.638
N 0.467 0.467 0.696
N 0.533 0.533 0.304
N 0.804 0.804 0.362
N 0.855 0.855 0.975


Density functional theory data (GGA-PBE) for TmTh3N4 after structural relaxation.

a = 6.244 Å, b = 7.205 Å, c = 6.227 Å
α = 90.00°, β = 109.38°, γ = 90.00°
Element x y z (fractional)
Tm 0.000 0.122 0.250
Tm 0.000 0.878 0.750
Th 0.000 0.372 0.750
Th 0.000 0.628 0.250
Th 0.500 0.123 0.750
Th 0.500 0.374 0.250
Th 0.500 0.626 0.750
Th 0.500 0.877 0.250
N 0.240 0.119 0.000
N 0.240 0.881 0.500
N 0.241 0.367 0.491
N 0.241 0.633 0.991
N 0.759 0.367 0.009
N 0.759 0.633 0.509
N 0.760 0.119 0.500
N 0.760 0.881 0.000


Density functional theory data (GGA-PBE) for TmThN2 after structural relaxation.

a = 3.483 Å, b = 3.483 Å, c = 18.193 Å
α = 90.00°, β = 90.00°, γ = 120.00°
Element x y z (fractional)
Tm 0.000 0.000 0.000
Tm 0.333 0.667 0.667
Tm 0.667 0.333 0.333
Th 0.000 0.000 0.174
Th 0.333 0.667 0.841
Th 0.667 0.333 0.507
N 0.000 0.000 0.593
N 0.000 0.000 0.756
N 0.333 0.667 0.260
N 0.333 0.667 0.423
N 0.667 0.333 0.089
N 0.667 0.333 0.926


Density functional theory data (GGA-PBE) for Tm2ThN after structural relaxation.

The calculation puts the offset from the most stable computed form at 0.520 eV/atom.

a = 3.180 Å, b = 3.180 Å, c = 8.391 Å
α = 90.00°, β = 90.00°, γ = 90.00°
Element x y z (fractional)
Tm 0.000 0.000 0.167
Tm 0.000 0.000 0.833
Th 0.500 0.500 0.500
N 0.500 0.500 0.000


Density functional theory data (GGA-PBE) for Tm2ThN after structural relaxation.

The calculation puts the offset from the most stable computed form at 0.000 eV/atom.

a = 3.383 Å, b = 3.383 Å, c = 28.472 Å
α = 90.00°, β = 90.00°, γ = 120.00°
Element x y z (fractional)
Tm 0.000 0.000 0.120
Tm 0.000 0.000 0.880
Tm 0.333 0.667 0.546
Tm 0.333 0.667 0.787
Tm 0.667 0.333 0.213
Tm 0.667 0.333 0.454
Th 0.000 0.000 0.000
Th 0.333 0.667 0.667
Th 0.667 0.333 0.333
N 0.000 0.000 0.500
N 0.333 0.667 0.167
N 0.667 0.333 0.833


Density functional theory data (GGA-PBE) for Tm3ThN4 after structural relaxation.

a = 6.015 Å, b = 6.959 Å, c = 6.021 Å
α = 90.00°, β = 109.50°, γ = 90.00°
Element x y z (fractional)
Tm 0.000 0.120 0.250
Tm 0.000 0.369 0.750
Tm 0.000 0.631 0.250
Tm 0.000 0.880 0.750
Tm 0.500 0.121 0.750
Tm 0.500 0.879 0.250
Th 0.500 0.371 0.250
Th 0.500 0.629 0.750
N 0.244 0.371 0.501
N 0.244 0.629 0.001
N 0.248 0.121 0.997
N 0.248 0.879 0.497
N 0.752 0.121 0.503
N 0.752 0.879 0.003
N 0.756 0.371 0.999
N 0.756 0.629 0.499


Density functional theory data (GGA-PBE) for TmTh4N5 after structural relaxation.

a = 6.257 Å, b = 6.257 Å, c = 6.257 Å
α = 99.66°, β = 99.66°, γ = 131.63°
Element x y z (fractional)
Tm 0.000 0.000 0.000
Th 0.200 0.399 0.600
Th 0.399 0.800 0.199
Th 0.601 0.200 0.801
Th 0.800 0.601 0.400
N 0.099 0.710 0.810
N 0.290 0.099 0.389
N 0.500 0.500 0.000
N 0.710 0.901 0.611
N 0.901 0.290 0.190


Density functional theory data (GGA-PBE) for Tm2ThUN4 after structural relaxation.

a = 6.024 Å, b = 3.465 Å, c = 6.038 Å
α = 90.00°, β = 109.12°, γ = 90.00°
Element x y z (fractional)
Tm 0.000 0.000 0.000
Tm 0.500 0.500 0.000
Th 0.000 0.500 0.500
U 0.500 0.000 0.500
N 0.262 0.500 0.249
N 0.269 0.000 0.754
N 0.731 0.000 0.246
N 0.738 0.500 0.751


Density functional theory data (GGA-PBE) for Y2TmThN4 after structural relaxation.

a = 6.077 Å, b = 3.521 Å, c = 6.079 Å
α = 90.00°, β = 109.31°, γ = 90.00°
Element x y z (fractional)
Y 0.000 0.000 0.000
Y 0.500 0.500 0.000
Tm 0.000 0.500 0.500
Th 0.500 0.000 0.500
N 0.246 0.000 0.746
N 0.246 0.500 0.250
N 0.754 0.000 0.254
N 0.754 0.500 0.750


Density functional theory data (GGA-PBE) for TmTh2ZrN4 after structural relaxation.

a = 6.021 Å, b = 3.465 Å, c = 6.107 Å
α = 90.00°, β = 109.08°, γ = 90.00°
Element x y z (fractional)
Tm 0.000 0.000 0.000
Th 0.000 0.500 0.500
Th 0.500 0.000 0.500
Zr 0.500 0.500 0.000
N 0.249 0.500 0.228
N 0.264 0.000 0.776
N 0.736 0.000 0.224
N 0.751 0.500 0.772


| no. | formation energy (no corrections) (eV per atom) |
| --- | --- |
| 1 | -1.353 |
| 2 | -1.451 |
| 3 | -1.361 |
| 4 | -1.597 |
| 5 | -1.370 |
| 6 | -0.192 |
| 7 | -0.712 |
| 8 | -1.739 |
| 9 | -1.587 |
| 10 | -1.577 |
| 11 | -1.686 |
| 12 | -1.614 |